VASP calculation (PBE) on a geometry-optimized ReHO2 structure.

Results
- offset from the most stable computed form (eV/f.u.) = 2.92
- M_tot (μB per cell) = 0.287

Cell: 3.505 3.505 3.505 Å, 60.00 60.00 60.00°
Site moments in Bohr magnetons follow the coordinates.
Fractional coordinates of all 4 atoms:
Re 0.500 0.500 0.500  -0.31
O 0.250 0.250 0.250  0.00
O 0.750 0.750 0.750  0.00
H 0.000 0.000 0.000  0.03